## ReMoW (SCAN)

Data for a PBEsol-optimized structure of ReMoW.

POSCAR file:
```
ReMoW
1.0
-4.0823 -0.9039 0.7087
-1.1367 -3.9248 1.1351
-1.3494 -0.7584 3.9482
Mo Re W
1 1 1
Cartesian
-3.2842 -2.7936 2.8961
-1.6421 -1.3968 1.4480
0.0000 0.0000 0.0000
```

Computed properties:
SG = F-43m, No. 216
total moment = 0.00 μB per formula unit
distance to the lowest polymorph of the same formula = 701 meV/atom
calculated volume = 18.0 Å³/atom
VASP energy = -57.84 eV/atom
calculated formation energy = 718.5 meV per atom



## CsRu3F (SCAN)

Data for a PBEsol-optimized structure of CsRu3F.

POSCAR file:
```
CsRu3F
1.0
-1.4259 4.6974 -0.0793
0.0399 -0.0708 -4.9090
-4.6979 -1.4263 -0.0176
Cs Ru F
1 3 1
Cartesian
0.0000 0.0000 0.0000
0.0199 -0.0354 -2.4545
-2.3489 -0.7132 -0.0088
-0.7129 2.3487 -0.0397
-3.0419 1.6001 -2.5030
```

Computed properties:
SG = Pm-3m, No. 221
total moment = 5.84 μB per formula unit
distance to the lowest polymorph of the same formula = 1247 meV/atom
calculated volume = 23.7 Å³/atom
VASP energy = -26.39 eV/atom



## LiLa3Cu (SCAN)

Data for a PBEsol-optimized structure of LiLa3Cu.

POSCAR file:
```
LiLa3Cu
1.0
5.1961 0.0000 0.0000
0.0000 5.1961 0.0000
0.0000 0.0000 5.1961
Li Cu La
1 1 3
Cartesian
0.0000 0.0000 0.0000
2.5980 2.5980 2.5980
0.0000 2.5980 0.0000
0.0000 0.0000 2.5980
2.5980 0.0000 0.0000
```

Computed properties:
SG = Pm-3m, No. 221
total moment = 0.00 μB per formula unit
calculated volume = 28.1 Å³/atom
VASP energy = -28.73 eV/atom
calculated formation energy = 646.2 meV per atom



## Ta2CrCuGe (SCAN)

Data for a PBEsol-optimized structure of Ta2CrCuGe.

POSCAR file:
```
Ta2CrCuGe
1.0
4.4356 0.0000 0.0000
0.0000 4.5286 0.0000
0.0000 0.0000 4.5286
Cr Ge Cu Ta
1 1 1 2
Cartesian
0.0000 0.0000 0.0000
2.2178 0.0000 0.0000
2.2178 2.2643 2.2643
0.0000 0.0000 2.2643
0.0000 2.2643 0.0000
```

Computed properties:
SG = P4/mmm, No. 123
total moment = 0.00 μB per formula unit
calculated volume = 18.2 Å³/atom
VASP energy = -36.08 eV/atom
calculated formation energy = 1090.0 meV per atom



## RbAg2Sb (SCAN)

Data for a PBEsol-optimized structure of RbAg2Sb.

POSCAR file:
```
RbAg2Sb
1.0
5.6802 0.0000 0.0000
0.0000 5.6802 0.0000
-2.8401 -2.8401 8.8114
Sb Rb Ag
2 2 4
Cartesian
0.0000 0.0000 0.0000
0.0000 2.8401 4.4057
2.8401 2.8401 0.0000
2.8401 0.0000 4.4057
1.4201 2.8401 6.6085
-1.4201 2.8401 6.6085
0.0000 4.2602 2.2028
0.0000 1.4201 2.2028
```

Computed properties:
SG = I4_1/amd, No. 141
total moment = 0.00 μB per formula unit
calculated volume = 35.5 Å³/atom
VASP energy = -30.33 eV/atom



## Ca3NdMn2O8 (SCAN)

Data for a PBEsol-optimized structure of Ca3NdMn2O8.

POSCAR file:
```
Ca3NdMn2O8
1.0
-1.0588 2.5511 -2.5488
-1.1402 -2.7569 -2.2858
-10.6989 0.4043 4.8493
Ca Nd Mn O
3 1 2 8
Cartesian
-10.3001 0.2448 1.7529
-2.5382 -0.0485 -1.7652
-6.9473 0.2625 3.1489
-3.8200 0.1444 1.7315
-10.6686 0.4032 4.8356
-6.5226 0.1020 0.0408
-0.5755 -1.3783 -1.1405
-5.8436 1.4764 1.1343
-0.5348 1.2758 -1.2719
-5.8843 -1.1776 1.2658
-4.6639 0.0318 -0.8017
-8.9402 0.3378 4.0522
-1.7811 0.0673 0.8073
-8.2195 0.1662 0.8099
```

Computed properties:
SG = P4mm, No. 99
total moment = 6.88 μB per formula unit
calculated volume = 11.9 Å³/atom
VASP energy = -14.33 eV/atom



## RbFe3Ru (SCAN)

Data for a PBEsol-optimized structure of RbFe3Ru.

POSCAR file:
```
RbFe3Ru
1.0
4.7230 0.0000 0.0000
0.0000 4.7230 0.0000
0.0000 0.0000 4.7230
Ru Fe Rb
1 3 1
Cartesian
0.0000 0.0000 0.0000
0.0000 2.3615 0.0000
0.0000 0.0000 2.3615
2.3615 0.0000 0.0000
2.3615 2.3615 2.3615
```

Computed properties:
SG = Pm-3m, No. 221
total moment = 11.25 μB per formula unit
calculated volume = 21.1 Å³/atom
VASP energy = -20.87 eV/atom
calculated formation energy = 1121.6 meV per atom



## LiYTl (SCAN)

Data for a PBEsol-optimized structure of LiYTl.

POSCAR file:
```
LiYTl
1.0
-0.3888 -2.7201 1.8943
4.4739 -1.2102 -0.8195
-0.7428 4.3097 3.0959
Li Tl Y
1 1 1
Cartesian
0.0025 0.0044 0.0069
2.4856 -1.1659 1.7760
0.8542 1.5409 2.3880
```

Computed properties:
SG = Imm2, No. 44
total moment = 0.00 μB per formula unit
distance to the lowest polymorph of the same formula = 180 meV/atom
calculated volume = 23.6 Å³/atom
VASP energy = -34.50 eV/atom
calculated formation energy = -299.0 meV per atom